# 1
Material: CaFeSiRh2
Method: DFT, PBE-GGA
State: optimized geometry

Values from the calculation:
Its total energy is -5.693 eV/atom. The energy above the lowest structure with this stoichiometry is 97.5 kJ/mol of formula units. As for the total magnetization: 3.1 μB per formula unit. Its space group is P4/mmm.

Cell lengths 4.4173, 5.1780, 4.4173 Å; angles 90.00, 90.00, 90.00 degrees
Closest atoms and distances in Å follow each position.
Positions (direct):
Ca: 0.0000 0.5000 0.0000  2 Si 2.59
Fe: 0.5000 0.5000 0.5000  4 Ca 3.12, 8 Rh 3.40
Rh: 0.5000 0.0000 0.0000  2 Si 2.21
Rh: 0.0000 0.0000 0.5000  2 Si 2.21
Si: 0.0000 0.0000 0.0000  4 Rh 2.21

=====

# 2
Material: AcPm2NdTm
Method: DFT, PBE-GGA
State: optimized geometry

Values from the calculation:
The formation enthalpy at 0 K is 0.346 eV/atom. Its total energy is -4.224 eV/atom. As for the total magnetization: 0.0 μB per formula unit. Its space group is Cmcm.

Cell lengths 7.3876, 8.3335, 7.3956 Å; angles 124.29, 90.00, 90.00 degrees
Closest atoms and distances in Å follow each position.
Positions (direct):
Pm: 0.5000 0.3042 0.0000  2 Nd 3.22, 1 Pm 3.26, 2 Tm 3.39
Pm: 0.0000 0.3042 0.0000  2 Nd 3.22, 1 Pm 3.26, 2 Tm 3.39
Pm: 0.0000 0.6958 0.0000  2 Nd 3.22, 1 Pm 3.26, 2 Tm 3.39
Pm: 0.5000 0.6958 0.0000  2 Nd 3.22, 1 Pm 3.26, 2 Tm 3.39
Tm: 0.2500 0.3096 0.6191  1 Nd 3.05, 4 Pm 3.39
Tm: 0.7500 0.6904 0.3809  1 Nd 3.05, 4 Pm 3.39
Nd: 0.7500 0.9399 0.8798  1 Tm 3.05, 4 Pm 3.22
Nd: 0.2500 0.0601 0.1202  1 Tm 3.05, 4 Pm 3.22
Ac: 0.2500 0.7570 0.5139  1 Nd 3.70, 2 Tm 3.78, 4 Pm 3.99
Ac: 0.7500 0.2430 0.4861  1 Nd 3.70, 2 Tm 3.78, 4 Pm 3.99

=====

# 3
Material: Na2Ti2CoS6
Method: DFT, PBE-GGA
State: optimized geometry

Values from the calculation:
Its total energy is -5.655 eV/atom. As for the total magnetization: 1.1 μB per formula unit. Its space group is C2/m.

Cell lengths 5.9654, 5.9654, 7.1089 Å; angles 98.31, 98.31, 119.71 degrees
Closest atoms and distances in Å follow each position.
Positions (direct):
S: 0.7494 0.7494 0.6957  1 Co 2.32, 2 Ti 2.46
S: 0.6091 0.9261 0.2986  1 Co 2.35, 2 Ti 2.44
S: 0.2506 0.2506 0.3043  1 Co 2.32, 2 Ti 2.46
S: 0.9261 0.6091 0.2986  1 Co 2.35, 2 Ti 2.44
S: 0.0739 0.3909 0.7014  1 Co 2.35, 2 Ti 2.44
S: 0.3909 0.0739 0.7014  1 Co 2.35, 2 Ti 2.44
Ti: 0.6704 0.3296 0.5000  6 S 2.44-2.46
Ti: 0.3296 0.6704 0.5000  6 S 2.44-2.46
Co: 0.0000 0.0000 0.5000  6 S 2.32-2.35
Na: 0.1682 0.8318 0.0000  6 S 2.84-2.88
Na: 0.8318 0.1682 0.0000  6 S 2.84-2.88